Record 1
{"formula": "BaCe2CrN5", "functional": "GGA-PBE", "state": "relaxed", "lattice_angstrom": [[-3.434, 3.434, 5.604], [3.434, -3.434, 5.604], [3.434, 3.434, -5.604]], "species": ["Ba", "Ba", "Ce", "Ce", "Ce", "Ce", "Cr", "Cr", "N", "N", "N", "N", "N", "N", "N", "N", "N", "N"], "fractional_positions": [[0.250, 0.250, 0.000], [0.750, 0.750, 0.000], [0.182, 0.682, 0.863], [0.318, 0.182, 0.500], [0.682, 0.818, 0.500], [0.818, 0.318, 0.137], [0.250, 0.750, 0.500], [0.750, 0.250, 0.500], [0.000, 0.000, 0.000], [0.009, 0.782, 0.500], [0.218, 0.718, 0.227], [0.282, 0.509, 0.500], [0.491, 0.991, 0.773], [0.500, 0.500, 0.000], [0.509, 0.009, 0.227], [0.718, 0.491, 0.500], [0.782, 0.282, 0.773], [0.991, 0.218, 0.500]], "formation_energy_uncorrected_ev_per_atom": -1.067, "dos_at_fermi_per_ev_cell": 11.6}

Record 2
{"formula": "Pr3HoTm7", "functional": "GGA-PBE", "state": "relaxed", "lattice_angstrom": [[6.479, 0.000, 0.000], [-0.594, 6.637, 0.000], [-1.221, -1.532, 8.324]], "species": ["Pr", "Pr", "Pr", "Ho", "Tm", "Tm", "Tm", "Tm", "Tm", "Tm", "Tm"], "fractional_positions": [[0.000, 0.000, 0.000], [0.198, 0.562, 0.165], [0.802, 0.438, 0.835], [0.500, 0.000, 0.500], [0.013, 0.768, 0.579], [0.281, 0.275, 0.786], [0.438, 0.792, 0.854], [0.500, 0.500, 0.500], [0.562, 0.208, 0.146], [0.719, 0.725, 0.214], [0.987, 0.232, 0.421]], "e_above_lowest_polymorph_kj_per_mol_fu": 0, "dos_at_fermi_per_ev_cell": 17.4}

Record 3
{"formula": "PmPr2TmTh", "functional": "GGA-PBE", "state": "relaxed", "lattice_angstrom": [[8.766, 0.000, 0.000], [0.000, 6.304, 0.000], [-0.016, 0.000, 6.400]], "species": ["Pm", "Pm", "Pr", "Pr", "Pr", "Pr", "Tm", "Tm", "Th", "Th"], "fractional_positions": [[0.000, 0.037, 0.250], [0.000, 0.963, 0.750], [0.313, 0.209, 0.749], [0.313, 0.791, 0.249], [0.687, 0.209, 0.751], [0.687, 0.791, 0.251], [0.500, 0.315, 0.250], [0.500, 0.685, 0.750], [0.000, 0.500, 0.000], [0.000, 0.500, 0.500]], "e_tot_ev_per_cell": -49.162, "dos_at_fermi_per_ev_cell": 12.0}

Record 4
{"formula": "SrZnCuAg2", "functional": "GGA-PBE", "state": "relaxed", "lattice_angstrom": [[5.870, 0.000, 0.000], [0.000, 5.870, 0.000], [0.000, 0.000, 6.033]], "species": ["Sr", "Zn", "Cu", "Ag", "Ag"], "fractional_positions": [[0.000, 0.000, 0.000], [0.000, 0.000, 0.500], [0.500, 0.500, 0.500], [0.000, 0.500, 0.000], [0.500, 0.000, 0.000]], "e_above_lowest_polymorph_kj_per_mol_fu": 576, "dos_at_fermi_per_ev_cell": 3.1}

Record 5
{"formula": "Pm3Dy4In2", "functional": "GGA-PBE", "state": "relaxed", "lattice_angstrom": [[7.587, -2.481, 0.000], [7.587, 2.481, 0.000], [-2.492, 0.000, 7.268]], "species": ["Pm", "Pm", "Pm", "Dy", "Dy", "Dy", "Dy", "In", "In"], "fractional_positions": [[0.000, 0.000, 0.000], [0.115, 0.115, 0.674], [0.885, 0.885, 0.326], [0.221, 0.221, 0.314], [0.443, 0.443, 0.672], [0.557, 0.557, 0.328], [0.779, 0.779, 0.686], [0.340, 0.340, 0.001], [0.660, 0.660, 0.999]], "e_tot_ev_per_cell": -39.641, "dos_at_fermi_per_ev_cell": 10.8}

Record 6
{"formula": "NbRuN2", "functional": "GGA-PBE", "state": "relaxed", "lattice_angstrom": [[-2.239, 2.239, 5.100], [2.239, -2.239, 5.100], [2.239, 2.239, -5.100]], "species": ["Nb", "Nb", "Ru", "Ru", "N", "N", "N", "N"], "fractional_positions": [[0.000, 0.000, 0.000], [0.750, 0.250, 0.500], [0.250, 0.750, 0.500], [0.500, 0.500, 0.000], [0.125, 0.625, 0.000], [0.375, 0.375, 0.500], [0.625, 0.125, 0.000], [0.875, 0.875, 0.500]], "formation_energy_uncorrected_ev_per_atom": -0.207, "e_above_lowest_polymorph_kj_per_mol_fu": 0, "dos_at_fermi_per_ev_cell": 5.1}

Record 7
{"formula": "Ba2SrAu", "functional": "GGA-PBE", "state": "relaxed", "lattice_angstrom": [[2.327, 1.344, 11.179], [-2.327, 1.344, 11.179], [0.000, -2.687, 11.179]], "species": ["Ba", "Ba", "Sr", "Au"], "fractional_positions": [[0.222, 0.222, 0.222], [0.778, 0.778, 0.778], [0.000, 0.000, 0.000], [0.500, 0.500, 0.500]], "e_above_lowest_polymorph_kj_per_mol_fu": 22, "dos_at_fermi_per_ev_cell": 4.7}

Record 8
{"formula": "Tm4As3S", "functional": "GGA-PBE", "state": "relaxed", "lattice_angstrom": [[-2.839, 2.839, 5.670], [2.839, -2.839, 5.670], [2.839, 2.839, -5.670]], "species": ["Tm", "Tm", "Tm", "Tm", "As", "As", "As", "S"], "fractional_positions": [[0.000, 0.500, 0.500], [0.250, 0.250, 0.000], [0.500, 0.000, 0.500], [0.750, 0.750, 0.000], [0.000, 0.000, 0.000], [0.250, 0.750, 0.500], [0.750, 0.250, 0.500], [0.500, 0.500, 0.000]], "formation_energy_uncorrected_ev_per_atom": -1.647, "dos_at_fermi_per_ev_cell": 2.1}